The following is a DFT calculation (PBE) of an optimized crystal structure of Ca2ScBr.

Computed properties:
Fermi-level density of states, states/eV per atom: 1.16
Uncorrected energy, eV per atom: -3.2619
E_form (uncorrected), meV/atom: -260
Excess energy over the best structure of this formula in the dataset, meV/atom: 302
Spin magnetization, μB/f.u.: 0.4

a b c (Å): 5.975 5.975 3.638
angles (deg): 90.00 90.00 100.68
Fractional coordinates of all 4 atoms:
1 Ca 0.000 0.500 0.000
2 Ca 0.500 0.000 0.000
3 Sc 0.000 0.000 0.500
4 Br 0.500 0.500 0.500

=====

The following is a DFT calculation (PBE) of an optimized crystal structure of HoAlZn3Ag.

Computed properties:
Fermi-level density of states, states/eV per atom: 0.27
E_form, meV/atom: -58
Uncorrected energy, eV per atom: -2.5573
Spin magnetization, μB/f.u.: 0.0

a b c (Å): 7.115 7.115 5.857
angles (deg): 90.00 90.00 129.02
Fractional coordinates of all 12 atoms:
1 Ho 0.196 0.804 0.750
2 Ho 0.804 0.196 0.250
3 Al 0.420 0.580 0.750
4 Al 0.580 0.420 0.250
5 Zn 0.200 0.200 0.000
6 Zn 0.200 0.200 0.500
7 Zn 0.371 0.629 0.250
8 Zn 0.629 0.371 0.750
9 Zn 0.800 0.800 0.000
10 Zn 0.800 0.800 0.500
11 Ag 0.162 0.838 0.250
12 Ag 0.838 0.162 0.750

=====

The following is a DFT calculation (PBE) of an optimized crystal structure of SiIrAu3.

Computed properties:
Fermi-level density of states, states/eV per atom: 0.66
Uncorrected energy, eV per atom: -3.9125
E_form (uncorrected), meV/atom: 911
Excess energy over the best structure of this formula in the dataset, meV/atom: 0
Spin magnetization, μB/f.u.: 0.0

a b c (Å): 4.623 4.623 4.623
angles (deg): 90.00 90.00 90.00
Fractional coordinates of all 5 atoms:
1 Si 0.000 0.000 0.000
2 Ir 0.500 0.500 0.500
3 Au 0.000 0.000 0.500
4 Au 0.000 0.500 0.000
5 Au 0.500 0.000 0.000

=====

The following is a DFT calculation (PBE) of an optimized crystal structure of Nb2Pd4Pt.

Computed properties:
Fermi-level density of states, states/eV per atom: 0.74
E_form, meV/atom: -448
Uncorrected energy, eV per atom: -7.1558
Spin magnetization, μB/f.u.: 0.0

a b c (Å): 4.935 4.935 6.390
angles (deg): 95.92 95.92 46.22
Fractional coordinates of all 7 atoms:
1 Nb 0.076 0.076 0.227
2 Nb 0.924 0.924 0.773
3 Pd 0.214 0.214 0.643
4 Pd 0.362 0.362 0.070
5 Pd 0.638 0.638 0.930
6 Pd 0.786 0.786 0.357
7 Pt 0.500 0.500 0.500

=====

The following is a DFT calculation (PBE) of an optimized crystal structure of RbRhO3.

Computed properties:
Fermi-level density of states, states/eV per atom: 1.34
Uncorrected energy, eV per atom: -3.0577
E_form (uncorrected), meV/atom: 1581
Spin magnetization, μB/f.u.: 3.5

a b c (Å): 4.287 4.287 4.287
angles (deg): 90.00 90.00 90.00
Fractional coordinates of all 5 atoms:
1 Rb 0.000 0.000 0.000
2 Rh 0.500 0.500 0.500
3 O 0.000 0.000 0.500
4 O 0.000 0.500 0.000
5 O 0.500 0.000 0.000

=====

The following is a DFT calculation (PBE) of an optimized crystal structure of NdErCo4.

Computed properties:
Fermi-level density of states, states/eV per atom: 1.36
E_form, meV/atom: -129
Uncorrected energy, eV per atom: -6.4214
Spin magnetization, μB/f.u.: 3.8

a b c (Å): 5.110 5.110 5.110
angles (deg): 60.00 60.00 60.00
Fractional coordinates of all 6 atoms:
1 Nd 0.000 0.000 0.000
2 Er 0.750 0.750 0.750
3 Co 0.376 0.376 0.376
4 Co 0.376 0.376 0.873
5 Co 0.376 0.873 0.376
6 Co 0.873 0.376 0.376

=====

Please write out number 3 again, unchanged.
The following is a DFT calculation (PBE) of an optimized crystal structure of SiIrAu3.

Computed properties:
Fermi-level density of states, states/eV per atom: 0.66
Uncorrected energy, eV per atom: -3.9125
E_form (uncorrected), meV/atom: 911
Excess energy over the best structure of this formula in the dataset, meV/atom: 0
Spin magnetization, μB/f.u.: 0.0

a b c (Å): 4.623 4.623 4.623
angles (deg): 90.00 90.00 90.00
Fractional coordinates of all 5 atoms:
1 Si 0.000 0.000 0.000
2 Ir 0.500 0.500 0.500
3 Au 0.000 0.000 0.500
4 Au 0.000 0.500 0.000
5 Au 0.500 0.000 0.000

=====

Look up the Fermi-level density of states of the third one. 0.66 states/eV per atom

=====

spin magnetization of number 1 (Ca2ScBr)? 0.4 μB/f.u.

=====

Number 6 is which compound? NdErCo4